Density functional theory data (GGA+U) for NaVI2F after structural relaxation.

Output
N(E_F), states/eV/f.u.: 0.00
Total moment, μB per formula unit: 3.000
Symmetry: No. 123
Electronic total energy, eV/atom: -4.0529

Cell: 5.834 5.834 4.138 Å, 90.00 90.00 90.00°
Element x y z (fractional)
1 I 0.000 0.500 0.000
2 I 0.500 0.000 0.000
3 Na 0.500 0.500 0.500
4 F 0.000 0.000 0.500
5 V 0.000 0.000 0.000